[1]
The following is a DFT calculation (PBE-GGA) of an optimized crystal structure of TlRe2Te.

Output
Formation energy (no corrections) = 1.244 eV per atom
Energy above the most stable polymorph in this dataset = 0.838 eV per atom
E = -50.86 eV for the cell shown

```
data_TlRe2Te
_symmetry_space_group_name_H-M 'I -4 m 2'
_symmetry_Int_Tables_number 119
_symmetry_space_group_name_Hall 'I -4 -2'
_cell_length_a 4.392
_cell_length_b 4.392
_cell_length_c 7.874
_cell_angle_alpha 90.00
_cell_angle_beta 90.00
_cell_angle_gamma 90.00
loop_
_atom_site_label
_atom_site_fract_x
_atom_site_fract_y
_atom_site_fract_z
Tl1 0.000 0.000 0.000
Re1 0.000 0.000 0.500
Re2 0.000 0.500 0.750
Te1 0.000 0.500 0.250
```

***

[2]
The following is a DFT calculation (PBE-GGA) of an optimized crystal structure of TlReTe2.

Output
Formation energy (no corrections) = 0.786 eV per atom
Energy above the most stable polymorph in this dataset = 0.546 eV per atom
E = -71.81 eV for the cell shown

```
data_TlReTe2
_symmetry_space_group_name_H-M 'F m -3 m'
_symmetry_Int_Tables_number 225
_symmetry_space_group_name_Hall '-F 4 2 3'
_cell_length_a 7.140
_cell_length_b 7.140
_cell_length_c 7.140
_cell_angle_alpha 90.00
_cell_angle_beta 90.00
_cell_angle_gamma 90.00
loop_
_atom_site_label
_atom_site_fract_x
_atom_site_fract_y
_atom_site_fract_z
Tl1 0.000 0.000 0.000
Re1 0.000 0.000 0.500
Te1 0.250 0.250 0.250
```

***

[3]
The following is a DFT calculation (PBE-GGA) of an optimized crystal structure of TlRe2Te.

Output
Formation energy (no corrections) = 0.495 eV per atom
Energy above the most stable polymorph in this dataset = 0.089 eV per atom
E = -28.42 eV for the cell shown

```
data_TlRe2Te
_symmetry_space_group_name_H-M 'P 4 m m'
_symmetry_Int_Tables_number 99
_cell_length_a 3.043
_cell_length_b 3.043
_cell_length_c 9.016
_cell_angle_alpha 90.00
_cell_angle_beta 90.00
_cell_angle_gamma 90.00
loop_
_symmetry_equiv_pos_as_xyz
'x,y,z'
'-y,x,z'
'-x,-y,z'
'y,-x,z'
'-x,y,z'
'y,x,z'
'x,-y,z'
'-y,-x,z'
loop_
_atom_site_label
_atom_site_fract_x
_atom_site_fract_y
_atom_site_fract_z
Tl1 0.000 0.000 0.000
Re1 0.000 0.000 0.418
Re2 0.500 0.500 0.252
Te1 0.500 0.500 0.652
```

***

[4]
The following is a DFT calculation (PBE-GGA) of an optimized crystal structure of TlReTe2.

Output
Formation energy (no corrections) = 1.072 eV per atom
Energy above the most stable polymorph in this dataset = 0.832 eV per atom
E = -16.81 eV for the cell shown

```
data_TlReTe2
_symmetry_space_group_name_H-M 'P 1 2/m 1'
_symmetry_Int_Tables_number 10
_cell_length_a 5.181
_cell_length_b 3.404
_cell_length_c 5.489
_cell_angle_alpha 90.00
_cell_angle_beta 108.00
_cell_angle_gamma 90.00
loop_
_symmetry_equiv_pos_as_xyz
'x,y,z'
'-x,-y,-z'
'-x,y,-z'
'x,-y,z'
loop_
_atom_site_label
_atom_site_fract_x
_atom_site_fract_y
_atom_site_fract_z
Tl1 0.000 0.000 0.000
Re1 0.500 0.500 0.000
Te1 0.000 0.500 0.500
Te2 0.500 0.000 0.500
```

***

[5]
The following is a DFT calculation (PBE-GGA) of an optimized crystal structure of TlRe2Te.

Output
Formation energy (no corrections) = 1.126 eV per atom
Energy above the most stable polymorph in this dataset = 0.720 eV per atom
E = -103.60 eV for the cell shown

```
data_TlRe2Te
_symmetry_space_group_name_H-M 'I -4 2 d'
_symmetry_Int_Tables_number 122
_symmetry_space_group_name_Hall 'I -4 2bw'
_cell_length_a 4.367
_cell_length_b 4.367
_cell_length_c 18.969
_cell_angle_alpha 90.00
_cell_angle_beta 90.00
_cell_angle_gamma 90.00
loop_
_atom_site_label
_atom_site_fract_x
_atom_site_fract_y
_atom_site_fract_z
Tl1 0.000 0.000 0.000
Re1 0.149 0.250 0.625
Te1 0.000 0.000 0.500
```

***

[6]
The following is a DFT calculation (PBE-GGA) of an optimized crystal structure of TlReTe2.

Output
Formation energy (no corrections) = 0.294 eV per atom
Energy above the most stable polymorph in this dataset = 0.054 eV per atom
E = -19.92 eV for the cell shown

```
data_TlReTe2
_symmetry_space_group_name_H-M 'P 4/m m m'
_symmetry_Int_Tables_number 123
_symmetry_space_group_name_Hall '-P 4 2'
_cell_length_a 3.274
_cell_length_b 3.274
_cell_length_c 9.377
_cell_angle_alpha 90.00
_cell_angle_beta 90.00
_cell_angle_gamma 90.00
loop_
_atom_site_label
_atom_site_fract_x
_atom_site_fract_y
_atom_site_fract_z
Tl1 0.000 0.000 0.000
Re1 0.000 0.000 0.500
Te1 0.500 0.500 0.322
```